An optimized crystal structure of KSrCo2, computed with PBEsol.

Cell lengths 4.3533, 4.3533, 5.4889 Å; angles 113.36, 113.36, 90.00 degrees
Last column: magnetic moment on the atom in μB.
Sites, in units of the cell vectors:
K: 0.0000 0.0000 0.0000  -0.04
Co: 0.2500 0.7500 0.5000  1.52
Co: 0.7500 0.2500 0.5000  1.52
Sr: 0.5000 0.5000 0.0000  -0.09

Output
Space-group type   I4/mmm
Fermi-level density of states   7.02 states/eV/f.u.
Energy   -3.381 eV per atom
DFT formation energy   1231 meV per atom

---

An optimized crystal structure of LiCdHg2I, computed with PBEsol.

Cell lengths 5.1308, 5.4802, 5.4802 Å; angles 90.00, 90.00, 90.00 degrees
Sites, in units of the cell vectors:
Hg: 0.0000 0.5000 0.0000
Hg: 0.0000 0.0000 0.5000
I: 0.5000 0.0000 0.0000
Li: 0.0000 0.0000 0.0000
Cd: 0.5000 0.5000 0.5000

Output
Uncorrected formation energy   -0.130 eV/atom
Space-group type   P4/mmm
Fermi-level density of states   0.52 states/eV/f.u.
Energy   -1.343 eV per atom

---

An optimized crystal structure of MgAlIn2, computed with PBEsol.

Cell lengths 4.4708, 4.4708, 5.3676 Å; angles 114.61, 114.61, 90.00 degrees
Sites, in units of the cell vectors:
In: 0.7500 0.2500 0.5000
In: 0.2500 0.7500 0.5000
Al: 0.0000 0.0000 0.0000
Mg: 0.5000 0.5000 0.0000

Output
Space-group type   I4/mmm
Fermi-level density of states   1.72 states/eV/f.u.
Energy   -2.931 eV per atom
DFT formation energy   13 meV per atom

---

An optimized crystal structure of AlAu3, computed with PBEsol.

Cell lengths 2.9777, 2.9777, 8.6371 Å; angles 90.00, 90.00, 120.00 degrees
Sites, in units of the cell vectors:
Au: 0.0000 0.0000 0.5000
Au: 0.3333 0.6667 0.7715
Au: 0.3333 0.6667 0.2285
Al: 0.0000 0.0000 0.0000

Output
Space-group type   P-6m2
Fermi-level density of states   0.92 states/eV/f.u.
Energy   -4.149 eV per atom
DFT formation energy   -183 meV per atom

---

An optimized crystal structure of SrTaO3, computed with PBEsol.

Cell lengths 4.0213, 4.0213, 4.0213 Å; angles 90.00, 90.00, 90.00 degrees
Sites, in units of the cell vectors:
O: 0.5000 0.0000 0.0000
O: 0.0000 0.0000 0.5000
O: 0.0000 0.5000 0.0000
Ta: 0.0000 0.0000 0.0000
Sr: 0.5000 0.5000 0.5000

Output
Uncorrected formation energy   -2.922 eV/atom
Space-group type   Pm-3m
Fermi-level density of states   0.74 states/eV/f.u.
Energy   -8.949 eV per atom

---

An optimized crystal structure of Tc2SnHI, computed with PBEsol.

Cell lengths 3.4659, 5.0185, 5.0185 Å; angles 90.00, 90.00, 90.00 degrees
Last column: magnetic moment on the atom in μB.
Sites, in units of the cell vectors:
Sn: 0.0000 0.0000 0.0000  -0.01
I: 0.5000 0.5000 0.5000  0.00
H: 0.5000 0.0000 0.0000  0.01
Tc: 0.0000 0.0000 0.5000  0.37
Tc: 0.0000 0.5000 0.0000  0.37

Output
Space-group type   P4/mmm
Fermi-level density of states   6.00 states/eV/f.u.
Energy   -4.978 eV per atom

---

An optimized crystal structure of Mg4Re3, computed with PBEsol.

Cell lengths 5.1950, 5.1957, 5.1957 Å; angles 120.00, 90.00, 90.00 degrees
Sites, in units of the cell vectors:
Re: 0.0000 0.5000 0.0000
Re: 0.0000 0.5000 0.5000
Re: 0.0000 0.0000 0.5000
Mg: 0.7582 0.0000 0.0000
Mg: 0.2418 0.0000 0.0000
Mg: 0.5000 0.3333 0.6667
Mg: 0.5000 0.6667 0.3333

Output
Space-group type   P6/mmm
Fermi-level density of states   5.01 states/eV/f.u.
Energy   -6.405 eV per atom
DFT formation energy   290 meV per atom

---

An optimized crystal structure of BaAlPS2, computed with PBEsol.

Cell lengths 5.7163, 5.7163, 5.9398 Å; angles 90.00, 90.00, 90.00 degrees
Last column: magnetic moment on the atom in μB.
Sites, in units of the cell vectors:
S: 0.5000 0.0000 0.0000  0.41
S: 0.0000 0.5000 0.0000  0.41
Al: 0.5000 0.5000 0.5000  0.01
P: 0.0000 0.0000 0.5000  0.74
Ba: 0.0000 0.0000 0.0000  0.05

Output
Uncorrected formation energy   0.855 eV/atom
Space-group type   P4/mmm
Fermi-level density of states   5.74 states/eV/f.u.
Energy   -3.305 eV per atom

---

An optimized crystal structure of MgMnSiO2, computed with PBEsol.

Cell lengths 3.6093, 3.6093, 4.9190 Å; angles 90.00, 90.00, 90.00 degrees
Sites, in units of the cell vectors:
Mg: 0.5000 0.5000 0.5000
O: 0.5000 0.0000 0.0000
O: 0.0000 0.5000 0.0000
Mn: 0.0000 0.0000 0.0000
Si: 0.0000 0.0000 0.5000

Output
Uncorrected formation energy   -0.637 eV/atom
Space-group type   P4/mmm
Fermi-level density of states   2.22 states/eV/f.u.
Energy   -6.182 eV per atom

---

An optimized crystal structure of Zn2NiOs, computed with PBEsol.

Cell lengths 2.5469, 4.7299, 5.0018 Å; angles 117.05, 102.78, 94.05 degrees
Sites, in units of the cell vectors:
Os: 0.0000 0.5000 0.0000
Zn: 0.5000 0.5000 0.5000
Zn: 0.0000 0.0000 0.5000
Ni: 0.5000 0.0000 0.0000

Output
Space-group type   C2/m
Fermi-level density of states   2.31 states/eV/f.u.
Energy   -5.288 eV per atom
DFT formation energy   96 meV per atom

---

An optimized crystal structure of KCa2Re, computed with PBEsol.

Cell lengths 3.4062, 3.4062, 11.0310 Å; angles 90.00, 90.00, 90.00 degrees
Last column: magnetic moment on the atom in μB.
Sites, in units of the cell vectors:
Ca: 0.0000 0.0000 0.3385  0.02
Ca: 0.0000 0.0000 0.6615  0.02
K: 0.5000 0.5000 0.0000  0.01
Re: 0.5000 0.5000 0.5000  0.99

Output
Space-group type   P4/mmm
Fermi-level density of states   4.81 states/eV/f.u.
Energy   -3.946 eV per atom
DFT formation energy   737 meV per atom

---

An optimized crystal structure of HfSiSeN2, computed with PBEsol.

Cell lengths 3.6699, 3.6699, 4.7260 Å; angles 90.00, 90.00, 90.00 degrees
Sites, in units of the cell vectors:
N: 0.5000 0.0000 0.0000
N: 0.0000 0.5000 0.0000
Hf: 0.5000 0.5000 0.5000
Se: 0.0000 0.0000 0.5000
Si: 0.0000 0.0000 0.0000

Output
Uncorrected formation energy   0.028 eV/atom
Space-group type   P4/mmm
Fermi-level density of states   1.91 states/eV/f.u.
Energy   -7.402 eV per atom

---

An optimized crystal structure of Si2RuPt, computed with PBEsol.

Cell lengths 2.8950, 2.8950, 7.8661 Å; angles 79.40, 79.40, 60.00 degrees
Sites, in units of the cell vectors:
Pt: 0.4926 0.4926 0.5222
Ru: 0.2592 0.2592 0.2226
Si: 0.7497 0.7497 0.7510
Si: 0.9986 0.9986 0.0043

Output
Uncorrected formation energy   -0.219 eV/atom
Space-group type   R3m
Fermi-level density of states   2.29 states/eV/f.u.
Energy   -7.377 eV per atom

---

An optimized crystal structure of Li2SnP4O12, computed with PBEsol.

Cell lengths 4.6270, 9.7107, 9.7107 Å; angles 90.00, 90.00, 90.00 degrees
Sites, in units of the cell vectors:
P: 0.0000 0.2885 0.0000
P: 0.0000 0.2114 0.5000
P: 0.0000 0.7886 0.5000
P: 0.0000 0.7114 0.0000
P: 0.0000 0.0000 0.7114
P: 0.0000 0.5000 0.7886
P: 0.0000 0.5000 0.2114
P: 0.0000 0.0000 0.2885
Sn: 0.5000 0.0000 0.0000
Sn: 0.5000 0.5000 0.5000
O: 0.1592 0.1068 0.3932
O: 0.8408 0.6068 0.8932
O: 0.7642 0.9249 0.7856
O: 0.7642 0.7856 0.0751
O: 0.7642 0.2144 0.9249
O: 0.2358 0.2856 0.5751
O: 0.2358 0.7144 0.4249
O: 0.7642 0.7144 0.5751
O: 0.2358 0.5751 0.7144
O: 0.1592 0.8932 0.6068
O: 0.7642 0.2856 0.4249
O: 0.7642 0.4249 0.7144
O: 0.2358 0.4249 0.2856
O: 0.2358 0.7856 0.9249
O: 0.8408 0.3932 0.1068
O: 0.7642 0.5751 0.2856
O: 0.8408 0.8932 0.3932
O: 0.8408 0.1068 0.6068
O: 0.1592 0.3932 0.8932
O: 0.2358 0.2144 0.0751
O: 0.2358 0.0751 0.7856
O: 0.7642 0.0751 0.2144
O: 0.2358 0.9249 0.2144
O: 0.1592 0.6068 0.1068
Li: 0.5000 0.2500 0.2500
Li: 0.5000 0.2500 0.7500
Li: 0.5000 0.7500 0.2500
Li: 0.5000 0.7500 0.7500

Output
Uncorrected formation energy   -2.123 eV/atom
Space-group type   P4/nbm
Fermi-level density of states   0.00 states/eV/f.u.
Energy   -7.089 eV per atom

---

An optimized crystal structure of Li2TiCuF, computed with PBEsol.

Cell lengths 3.6068, 3.6068, 5.8267 Å; angles 90.00, 90.00, 90.00 degrees
Last column: magnetic moment on the atom in μB.
Sites, in units of the cell vectors:
Cu: 0.0000 0.0000 0.5000  0.03
Ti: 0.5000 0.5000 0.5000  1.26
Li: 0.0000 0.5000 0.0000  0.01
Li: 0.5000 0.0000 0.0000  0.01
F: 0.0000 0.0000 0.0000  0.04

Output
Uncorrected formation energy   -0.527 eV/atom
Space-group type   P4/mmm
Fermi-level density of states   4.20 states/eV/f.u.
Energy   -4.230 eV per atom

---

An optimized crystal structure of LiZnCu2, computed with PBEsol.

Cell lengths 3.6677, 3.6671, 4.4028 Å; angles 114.61, 114.62, 90.00 degrees
Sites, in units of the cell vectors:
Li: 0.5000 0.0000 0.0000
Cu: 0.7500 0.7500 0.5000
Cu: 0.2500 0.2500 0.5000
Zn: 0.0000 0.5000 0.0000

Output
Space-group type   I4/mmm
Fermi-level density of states   1.26 states/eV/f.u.
Energy   -3.150 eV per atom
DFT formation energy   -96 meV per atom

---

An optimized crystal structure of In3GeMo, computed with PBEsol.

Cell lengths 5.1840, 5.1840, 5.1840 Å; angles 90.00, 90.00, 90.00 degrees
Sites, in units of the cell vectors:
In: 0.0000 0.5000 0.0000
In: 0.0000 0.0000 0.5000
In: 0.5000 0.0000 0.0000
Mo: 0.0000 0.0000 0.0000
Ge: 0.5000 0.5000 0.5000

Output
Space-group type   Pm-3m
Fermi-level density of states   4.36 states/eV/f.u.
Energy   -4.262 eV per atom
DFT formation energy   869 meV per atom

---

An optimized crystal structure of InNi2W, computed with PBEsol.

Cell lengths 2.9546, 2.9568, 6.3742 Å; angles 90.00, 90.00, 90.00 degrees
Sites, in units of the cell vectors:
In: 0.5000 0.5000 0.7804
Ni: 0.5000 0.5000 0.2340
Ni: 0.0000 0.0000 0.0329
W: 0.0000 0.0000 0.4527

Output
Space-group type   P4mm
Fermi-level density of states   3.23 states/eV/f.u.
Energy   -7.123 eV per atom
DFT formation energy   154 meV per atom

---

An optimized crystal structure of SmCoGe, computed with PBEsol.

Cell lengths 4.2926, 6.7430, 7.1409 Å; angles 90.00, 90.00, 90.00 degrees
Sites, in units of the cell vectors:
Ge: 0.7500 0.8887 0.1928
Ge: 0.7500 0.6113 0.6928
Ge: 0.2500 0.1113 0.8072
Ge: 0.2500 0.3887 0.3072
Sm: 0.7500 0.1813 0.5247
Sm: 0.7500 0.3187 0.0247
Sm: 0.2500 0.6813 0.9753
Sm: 0.2500 0.8187 0.4753
Co: 0.2500 0.0677 0.1387
Co: 0.7500 0.9323 0.8613
Co: 0.2500 0.4323 0.6387
Co: 0.7500 0.5677 0.3613

Output
Space-group type   Pnma
Fermi-level density of states   1.43 states/eV/f.u.
Energy   -6.582 eV per atom
DFT formation energy   -659 meV per atom

---

An optimized crystal structure of NiSnF6, computed with PBEsol.

Cell lengths 5.0461, 5.0461, 5.4430 Å; angles 62.38, 62.38, 60.00 degrees
Last column: magnetic moment on the atom in μB.
Sites, in units of the cell vectors:
F: 0.8911 0.2482 0.2500  0.04
F: 0.7518 0.3892 0.7500  0.04
F: 0.2482 0.6108 0.2500  0.04
F: 0.3892 0.1089 0.7500  0.04
F: 0.1089 0.7518 0.7500  0.04
F: 0.6108 0.8911 0.2500  0.04
Sn: 0.5000 0.5000 0.5000  0.03
Ni: 0.0000 0.0000 0.0000  1.68

Output
Uncorrected formation energy   -2.154 eV/atom
Space-group type   R-3
Energy   -4.902 eV per atom